Density functional theory data (GGA-PBE) for a relaxed ScAl2Rh2 crystal.

Output
- calculated formation energy (eV/atom) = -0.8947
- size of the total moment (μB per atom) = 0.052
- volume (Å³ per cell) = 155.33
- ΔE to the lowest computed polymorph (meV per atom) = 4.1
- symmetry = P4/mbm (127)

Lattice parameters (Å, degrees): 7.355 7.355 2.871 90.00 90.00 90.00
Positions (direct):
Sc  0.000  0.000  0.000
Sc  0.500  0.500  0.000
Al  0.126  0.374  0.000
Al  0.374  0.874  0.000
Al  0.626  0.126  0.000
Al  0.874  0.626  0.000
Rh  0.171  0.671  0.500
Rh  0.329  0.171  0.500
Rh  0.671  0.829  0.500
Rh  0.829  0.329  0.500